## Tb2Tm2ZnGa4 (PBE)

Data for a relaxed Tb2Tm2ZnGa4 crystal.

Lattice parameters (Å, degrees): 6.554 6.554 6.554 96.82 116.14 116.14
Element x y z (fractional)
Tb: 0.000 0.689 0.689
Tb: 0.000 0.311 0.311
Tm: 0.500 0.750 0.250
Tm: 0.500 0.250 0.750
Zn: 0.000 0.000 0.000
Ga: 0.000 0.754 0.246
Ga: 0.508 0.754 0.754
Ga: 0.000 0.246 0.754
Ga: 0.492 0.246 0.246

Output
DFT formation energy = -0.26 eV/atom
Crystal system = tetragonal
Symmetry = I4/mmm